Entry from Alexandria via LeMat-Bulk: a geometry-optimized Sm8Co3IrBr4 structure (GGA-PBE).

It has space group R-3m (No. 166, hexagonal axes), with a = 7.9831 Å, b = 7.9831 Å, c = 23.1712 Å, α = 90.00°, β = 90.00° and γ = 120.00°. The distinct sites, in fractional coordinates, are Sm at (0.0000, 0.0000, 0.2300), Sm at (0.0083, 0.5041, 0.7691), Co at (0.0000, 0.5000, 0.5000), Ir at (0.0000, 0.0000, 0.5000), Br at (0.0000, 0.0000, 0.0000) and Br at (0.0000, 0.5000, 0.0000).

The uncorrected formation energy is -0.819 eV/atom. Its density of states at the Fermi level is 4.8 states/eV/f.u.


Entry from Alexandria via LeMat-Bulk: a geometry-optimized DyCo2GeH structure (GGA-PBE).

It has space group Cmcm (No. 63), with a = 3.685 Å, b = 10.250 Å, c = 6.882 Å, α = 90.00°, β = 90.00° and γ = 90.00°. The distinct sites, in fractional coordinates, are Dy at (0.000, 0.057, 0.250), Co at (0.000, 0.342, 0.056), Ge at (0.000, 0.224, 0.750) and H at (0.000, 0.500, 0.000).

For the total energy, the calculation gives -5.82 eV per atom. Its density of states at the Fermi level is 5.4 states/eV/f.u.


Entry from Alexandria via LeMat-Bulk: a geometry-optimized Pa2Tl2S5 structure (GGA-PBE).

It has space group Cmce (No. 64), with a = 15.896 Å, b = 7.617 Å, c = 7.610 Å, α = 90.00°, β = 90.00° and γ = 90.00°. The distinct sites, in fractional coordinates, are Pa at (0.000, 0.160, 0.160), Tl at (0.202, 0.000, 0.500), S at (0.000, 0.000, 0.500) and S at (0.108, 0.146, 0.855).

The uncorrected formation energy is -1.236 eV/atom. Its density of states at the Fermi level is 4.2 states/eV/f.u.


Entry from Alexandria via LeMat-Bulk: a geometry-optimized LaHfAgO2 structure (GGA-PBE).

It has space group P4/mmm (No. 123), with a = 4.169 Å, b = 4.169 Å, c = 5.528 Å, α = 90.00°, β = 90.00° and γ = 90.00°. The distinct sites, in fractional coordinates, are La at (0.000, 0.000, 0.000), Hf at (0.500, 0.500, 0.500), Ag at (0.500, 0.500, 0.000) and O at (0.000, 0.500, 0.500).

The uncorrected formation energy is -1.762 eV/atom. Its density of states at the Fermi level is 2.3 states/eV/f.u.